No. 1
## Sm4Cd3Hg (GGA-PBE)

Data for a relaxed structure of Sm4Cd3Hg.

POSCAR file:
```
Sm4Cd3Hg
1.0
3.623 0.000 0.000
0.000 4.978 0.000
0.000 0.000 12.355
Sm Cd Hg
4 3 1
direct
0.500 0.500 0.341
0.000 0.500 0.844
0.000 0.000 0.155
0.500 0.000 0.659
0.000 0.500 0.571
0.000 0.000 0.428
0.500 0.000 0.927
0.500 0.500 0.075
```

Summary:
- Formation energy: -0.3063 eV per atom
- Polymorph energy (0 for the lowest one): 48.8 meV per atom
- M_tot: 0.0 μB per formula unit

---

No. 2
## In2MoH (GGA-PBE)

Data for a relaxed structure of In2MoH.

POSCAR file:
```
In2MoH
1.0
6.830 0.000 0.000
0.000 6.830 0.000
3.415 3.415 2.769
H Mo In
2 2 4
direct
0.500 0.500 0.000
0.250 0.750 0.500
0.000 0.000 0.000
0.750 0.250 0.500
0.548 0.125 0.250
0.202 0.625 0.250
0.375 0.452 0.750
0.875 0.798 0.750
```

Summary:
- Polymorph energy (0 for the lowest one): 0.0 meV per atom
- M_tot: 0.0 μB per formula unit

---

No. 3
## CsRbBa2Cd (GGA-PBE)

Data for a relaxed structure of CsRbBa2Cd.

POSCAR file:
```
CsRbBa2Cd
1.0
6.919 0.000 0.000
0.000 6.919 0.000
0.000 0.000 7.614
Cs Ba Rb Cd
1 2 1 1
direct
0.000 0.000 0.500
0.000 0.500 0.000
0.500 0.000 0.000
0.500 0.500 0.500
0.000 0.000 0.000
```

Summary:
- Formation energy: 0.0391 eV per atom
- Polymorph energy (0 for the lowest one): 4.5 meV per atom
- M_tot: 0.0 μB per formula unit

---

No. 4
## Ta3InTc (GGA-PBE)

Data for a relaxed structure of Ta3InTc.

POSCAR file:
```
Ta3InTc
1.0
-0.707 0.017 4.769
-0.822 -4.749 -0.105
4.698 -0.828 0.699
In Tc Ta
1 1 3
direct
0.500 0.500 0.500
0.000 0.000 0.000
0.000 0.500 0.000
0.000 0.000 0.500
0.500 0.000 0.000
```

Summary:
- Formation energy: 1.0015 eV per atom
- Polymorph energy (0 for the lowest one): 0.0 meV per atom
- M_tot: 0.0 μB per formula unit